The following is a DFT calculation (PBE) of crystalline CaTlRu2 at its relaxed geometry.

N(E_F) ... 3.95 states/eV per cell
Theoretical density ... 9.7 g/cm³
Energy above the lowest structure with this stoichiometry ... 160 meV/atom
Formation energy ... 1.41 eV/f.u.

Lattice parameters (Å, degrees): 5.8599 5.8599 5.8599 148.95 131.89 58.37
Last column: nearest neighbours and their distance in Å.
Fractional positions:
Ca (0.0000, 0.0000, 0.0000)  6 Ru 2.87-3.19, 2 Ca 3.14
Tl (0.7165, 0.2165, 0.5000)  6 Ru 2.91-2.92, 2 Tl 3.14, 2 Ca 3.26
Ru (0.2714, 0.7714, 0.5000)  2 Ru 2.61, 4 Tl 2.91
Ru (0.4754, 0.4754, 0.0000)  2 Ru 2.61, 4 Ca 2.87, 2 Tl 2.92

=====

The following is a DFT calculation (PBE) of crystalline FeNi at its relaxed geometry.

N(E_F) ... 3.32 states/eV per cell
Theoretical density ... 8.4 g/cm³
Formation energy ... -0.03 eV/f.u.

Lattice parameters (Å, degrees): 2.5371 3.4597 5.1619 90.00 90.00 90.00
Last column: nearest neighbours and their distance in Å.
Fractional positions:
Fe (0.2500, 0.2500, 0.1350)  6 Ni 2.47-2.62, 6 Fe 2.54-2.56
Fe (0.7500, 0.7500, 0.8650)  6 Ni 2.47-2.62, 6 Fe 2.54-2.56
Ni (0.2500, 0.2500, 0.6270)  6 Fe 2.47-2.62, 6 Ni 2.51-2.54
Ni (0.7500, 0.7500, 0.3730)  6 Fe 2.47-2.62, 6 Ni 2.51-2.54

=====

The following is a DFT calculation (PBE) of crystalline Rb3FeAs at its relaxed geometry.

N(E_F) ... 10.14 states/eV per cell
Theoretical density ... 2.1 g/cm³
Energy above the lowest structure with this stoichiometry ... 0 meV/atom
Formation energy ... 3.26 eV/f.u.

Lattice parameters (Å, degrees): 6.7075 6.7075 6.7075 90.00 90.00 90.00
Last column: nearest neighbours and their distance in Å.
Fractional positions:
Rb (0.0000, 0.0000, 0.5000)  2 As 3.35
Rb (0.0000, 0.5000, 0.0000)  2 As 3.35
Rb (0.5000, 0.0000, 0.0000)  2 As 3.35
Fe (0.5000, 0.5000, 0.5000)  12 Rb 4.74
As (0.0000, 0.0000, 0.0000)  6 Rb 3.35